# 1
Material: Rb2FeCl5
Method: DFT, PBE-GGA
State: optimized geometry

Output
Crystal system: monoclinic
Raw formation energy in kJ/mol of formula units: -1083
Calculated volume in Å³/cell: 1205.5

Structure (CIF):
```
data_Rb2FeCl5
_chemical_formula_sum 'Rb8 Fe4 Cl20'
_cell_length_a 9.959
_cell_length_b 9.846
_cell_length_c 13.054
_cell_angle_alpha 90.00
_cell_angle_beta 109.65
_cell_angle_gamma 90.00
_space_group_name_H-M_alt 'P 1'
_space_group_IT_number 1
_space_group_name_Hall 'P 1'
loop_
_atom_site_label
_atom_site_fract_x
_atom_site_fract_y
_atom_site_fract_z
Rb1 0.708 0.871 0.019
Rb2 0.208 0.629 0.019
Rb3 0.556 0.861 0.365
Rb4 0.056 0.639 0.365
Rb5 0.944 0.361 0.635
Rb6 0.444 0.139 0.635
Rb7 0.792 0.371 0.981
Rb8 0.292 0.129 0.981
Fe1 0.532 0.425 0.304
Fe2 0.032 0.075 0.304
Fe3 0.968 0.925 0.696
Fe4 0.468 0.575 0.696
Cl1 0.018 0.112 0.135
Cl2 0.942 0.637 0.110
Cl3 0.518 0.388 0.135
Cl4 0.442 0.863 0.110
Cl5 0.854 0.939 0.304
Cl6 0.020 0.268 0.387
Cl7 0.354 0.561 0.304
Cl8 0.732 0.535 0.394
Cl9 0.520 0.232 0.387
Cl10 0.232 0.965 0.394
Cl11 0.768 0.035 0.606
Cl12 0.480 0.768 0.613
Cl13 0.268 0.465 0.606
Cl14 0.646 0.439 0.696
Cl15 0.980 0.732 0.613
Cl16 0.146 0.061 0.696
Cl17 0.558 0.137 0.890
Cl18 0.482 0.612 0.865
Cl19 0.058 0.363 0.890
Cl20 0.982 0.888 0.865
```

***

# 2
Material: Rb3FeCl6
Method: DFT, PBE-GGA
State: optimized geometry

Output
Crystal system: trigonal
D(E_F) in states/eV/cell: 12.61
Raw formation energy in kJ/mol of formula units: -1334
Calculated volume in Å³/cell: 675.4

Structure (CIF):
```
data_Rb3FeCl6
_chemical_formula_sum 'Rb6 Fe2 Cl12'
_cell_length_a 8.775
_cell_length_b 8.775
_cell_length_c 8.775
_cell_angle_alpha 90.96
_cell_angle_beta 90.96
_cell_angle_gamma 90.96
_space_group_name_H-M_alt 'P 1'
_space_group_IT_number 1
_space_group_name_Hall 'P 1'
loop_
_atom_site_label
_atom_site_fract_x
_atom_site_fract_y
_atom_site_fract_z
Rb1 0.436 0.933 0.752
Rb2 0.933 0.752 0.436
Rb3 0.248 0.564 0.067
Rb4 0.752 0.436 0.933
Rb5 0.067 0.248 0.564
Rb6 0.564 0.067 0.248
Fe1 0.000 0.000 0.000
Fe2 0.500 0.500 0.500
Cl1 0.246 0.942 0.078
Cl2 0.058 0.922 0.754
Cl3 0.560 0.752 0.451
Cl4 0.922 0.754 0.058
Cl5 0.451 0.560 0.752
Cl6 0.248 0.549 0.440
Cl7 0.752 0.451 0.560
Cl8 0.549 0.440 0.248
Cl9 0.078 0.246 0.942
Cl10 0.440 0.248 0.549
Cl11 0.942 0.078 0.246
Cl12 0.754 0.058 0.922
```

***

# 3
Material: Rb5FeCl8
Method: DFT, PBE-GGA
State: optimized geometry

Output
Crystal system: tetragonal
Raw formation energy in kJ/mol of formula units: -2121
Calculated volume in Å³/cell: 556.8

Structure (CIF):
```
data_Rb5FeCl8
_chemical_formula_sum 'Rb5 Fe1 Cl8'
_cell_length_a 9.073
_cell_length_b 9.073
_cell_length_c 9.073
_cell_angle_alpha 115.74
_cell_angle_beta 97.55
_cell_angle_gamma 115.74
_space_group_name_H-M_alt 'P 1'
_space_group_IT_number 1
_space_group_name_Hall 'P 1'
loop_
_atom_site_label
_atom_site_fract_x
_atom_site_fract_y
_atom_site_fract_z
Rb1 0.008 0.416 0.181
Rb2 0.819 0.827 0.236
Rb3 0.764 0.584 0.592
Rb4 0.500 0.000 0.500
Rb5 0.408 0.173 0.992
Fe1 0.250 0.500 0.750
Cl1 0.148 0.691 0.847
Cl2 0.153 0.301 0.844
Cl3 0.674 0.173 0.277
Cl4 0.723 0.398 0.896
Cl5 0.498 0.602 0.326
Cl6 0.543 0.699 0.852
Cl7 0.156 0.309 0.457
Cl8 0.104 0.827 0.502
```

***

# 4
Material: Rb2FeReCl6
Method: DFT, PBE-GGA
State: optimized geometry

Output
Crystal system: tetragonal
D(E_F) in states/eV/cell: 6.94
Raw formation energy in kJ/mol of formula units: -855
Calculated volume in Å³/cell: 243.1

Structure (CIF):
```
data_Rb2FeReCl6
_chemical_formula_sum 'Rb2 Fe1 Re1 Cl6'
_cell_length_a 7.000
_cell_length_b 7.000
_cell_length_c 7.008
_cell_angle_alpha 60.04
_cell_angle_beta 60.04
_cell_angle_gamma 90.00
_space_group_name_H-M_alt 'P 1'
_space_group_IT_number 1
_space_group_name_Hall 'P 1'
loop_
_atom_site_label
_atom_site_fract_x
_atom_site_fract_y
_atom_site_fract_z
Re1 0.000 0.000 0.000
Fe1 0.500 0.500 0.000
Rb1 0.750 0.250 0.500
Rb2 0.250 0.750 0.500
Cl1 0.246 0.246 0.508
Cl2 0.754 0.754 0.492
Cl3 0.246 0.246 0.000
Cl4 0.754 0.754 0.000
Cl5 0.754 0.246 0.000
Cl6 0.246 0.754 0.000
```

***

# 5
Material: Rb2FeRhCl6
Method: DFT, PBE-GGA
State: optimized geometry

Output
Crystal system: tetragonal
D(E_F) in states/eV/cell: 4.03
Raw formation energy in kJ/mol of formula units: -1020
Calculated volume in Å³/cell: 238.5

Structure (CIF):
```
data_Rb2FeRhCl6
_chemical_formula_sum 'Rb2 Fe1 Rh1 Cl6'
_cell_length_a 7.243
_cell_length_b 7.243
_cell_length_c 6.849
_cell_angle_alpha 58.08
_cell_angle_beta 58.08
_cell_angle_gamma 90.00
_space_group_name_H-M_alt 'P 1'
_space_group_IT_number 1
_space_group_name_Hall 'P 1'
loop_
_atom_site_label
_atom_site_fract_x
_atom_site_fract_y
_atom_site_fract_z
Rh1 0.000 0.000 0.000
Fe1 0.500 0.500 0.000
Rb1 0.750 0.250 0.500
Rb2 0.250 0.750 0.500
Cl1 0.256 0.256 0.488
Cl2 0.744 0.744 0.512
Cl3 0.249 0.249 0.000
Cl4 0.751 0.751 0.000
Cl5 0.751 0.249 0.000
Cl6 0.249 0.751 0.000
```

***

# 6
Material: RbFeRhCl6
Method: DFT, PBE-GGA
State: optimized geometry

Output
Crystal system: trigonal
D(E_F) in states/eV/cell: 5.66
Raw formation energy in kJ/mol of formula units: -825
Calculated volume in Å³/cell: 258.0

Structure (CIF):
```
data_RbFeRhCl6
_chemical_formula_sum 'Rb1 Fe1 Rh1 Cl6'
_cell_length_a 6.354
_cell_length_b 6.354
_cell_length_c 7.380
_cell_angle_alpha 90.05
_cell_angle_beta 90.02
_cell_angle_gamma 60.00
_space_group_name_H-M_alt 'P 1'
_space_group_IT_number 1
_space_group_name_Hall 'P 1'
loop_
_atom_site_label
_atom_site_fract_x
_atom_site_fract_y
_atom_site_fract_z
Rb1 0.000 0.000 0.000
Fe1 0.666 0.667 0.500
Rh1 0.333 0.334 0.500
Cl1 0.010 0.366 0.316
Cl2 0.365 0.011 0.683
Cl3 0.625 0.364 0.683
Cl4 0.010 0.624 0.684
Cl5 0.365 0.625 0.317
Cl6 0.625 0.011 0.317
```

***

calculated volume of number 2 (Rb3FeCl6)?
675.4 Å³/cell